The following is a DFT calculation (PBE) of an optimized crystal structure of HgAsOs2.

```
4
Lattice="2.842 0.000 0.000 0.000 2.842 0.000 0.000 0.000 9.548" Properties=species:S:1:pos:R:3 pbc="T T T"
Hg 0.000 0.000 0.000
As 1.421 1.421 5.754
Os 0.000 0.000 3.974
Os 1.421 1.421 2.255
```

Crystal system: tetragonal
Size of the total moment (μB/atom): 0.000
Volume (Å³ per cell): 77.1
Energy relative to the lowest polymorph listed for this composition (meV/atom): 0
Energy relative to the elements (eV per atom): 0.40

=====

The following is a DFT calculation (PBE) of an optimized crystal structure of K2MnAuBr.

```
5
Lattice="6.429 0.000 0.000 0.000 6.429 0.000 0.000 0.000 5.353" Properties=species:S:1:pos:R:3 pbc="T T T"
K 0.000 3.214 0.000
K 3.214 0.000 0.000
Mn 0.000 0.000 2.676
Au 3.214 3.214 0.000
Br 3.214 3.214 2.676
```

Crystal system: tetragonal
E_form (uncorrected) (eV/atom): 0.260
Size of the total moment (μB/atom): 0.961
Volume (Å³ per cell): 221.2

=====

The following is a DFT calculation (PBE) of an optimized crystal structure of LaSm2Dy.

```
4
Lattice="6.062 -1.820 0.000 6.062 1.820 0.000 -1.080 0.000 6.171" Properties=species:S:1:pos:R:3 pbc="T T T"
La 0.000 0.000 0.000
Sm 2.205 0.000 4.620
Sm 8.839 0.000 1.551
Dy 5.522 0.000 3.085
```

Crystal system: monoclinic
Size of the total moment (μB/atom): 0.000
Volume (Å³ per cell): 136.2
Energy relative to the lowest polymorph listed for this composition (meV/atom): 2
Energy relative to the elements (eV per atom): 0.02

=====

The following is a DFT calculation (PBE) of an optimized crystal structure of Li2SbPt2.

```
5
Lattice="-1.777 1.777 6.738 1.777 -1.777 6.738 1.777 1.777 -6.738" Properties=species:S:1:pos:R:3 pbc="T T T"
Li 1.777 0.000 3.369
Li 0.000 1.777 3.369
Sb 0.000 0.000 0.000
Pt 0.000 0.000 5.325
Pt 0.000 0.000 8.152
```

Crystal system: tetragonal
E_form (uncorrected) (eV/atom): -0.238
Size of the total moment (μB/atom): 0.000
Volume (Å³ per cell): 85.1
Energy relative to the lowest polymorph listed for this composition (meV/atom): 315

=====

The following is a DFT calculation (PBE) of an optimized crystal structure of AlInAg2.

```
4
Lattice="4.671 -1.589 0.000 4.671 1.589 0.000 -0.834 0.000 5.165" Properties=species:S:1:pos:R:3 pbc="T T T"
Al 0.000 0.000 0.000
In 4.253 0.000 2.583
Ag 1.757 0.000 3.967
Ag 6.750 0.000 1.199
```

Crystal system: monoclinic
Size of the total moment (μB/atom): 0.000
Volume (Å³ per cell): 76.7
Energy relative to the elements (eV per atom): 0.03

=====

The following is a DFT calculation (PBE) of an optimized crystal structure of ScTi2CoCl.

```
5
Lattice="4.466 0.000 0.000 0.000 4.466 0.000 0.000 0.000 5.176" Properties=species:S:1:pos:R:3 pbc="T T T"
Sc 0.000 0.000 0.000
Ti 0.000 2.233 2.588
Ti 2.233 0.000 2.588
Co 0.000 0.000 2.588
Cl 2.233 2.233 0.000
```

Crystal system: tetragonal
E_form (uncorrected) (eV/atom): 0.085
Size of the total moment (μB/atom): 0.199
Volume (Å³ per cell): 103.2

=====

The following is a DFT calculation (PBE) of an optimized crystal structure of AcTl2Bi2.

```
10
Lattice="2.367 -15.758 0.000 2.367 15.758 0.000 0.000 0.000 4.697" Properties=species:S:1:pos:R:3 pbc="T T T"
Ac 2.367 10.576 3.523
Ac 2.367 -10.576 1.174
Tl 2.367 14.145 1.174
Tl 2.367 1.626 1.174
Tl 2.367 -1.626 3.523
Tl 2.367 -14.145 3.523
Bi 2.367 7.871 1.174
Bi 2.367 4.098 3.523
Bi 2.367 -4.098 1.174
Bi 2.367 -7.871 3.523
```

Crystal system: orthorhombic
Size of the total moment (μB/atom): 0.000
Volume (Å³ per cell): 350.4
Energy relative to the elements (eV per atom): -0.41

=====

The following is a DFT calculation (PBE) of an optimized crystal structure of Nd8Ge3IrBr4.

```
16
Lattice="4.307 2.487 7.315 -4.307 2.487 7.315 0.000 -4.973 7.315" Properties=species:S:1:pos:R:3 pbc="T T T"
Nd 0.000 0.000 5.243
Nd -2.077 -1.199 12.492
Nd 0.000 -2.398 9.453
Nd -2.077 1.199 9.453
Nd 2.077 -1.199 12.492
Nd 0.000 2.398 12.492
Nd 2.077 1.199 9.453
Nd 0.000 0.000 16.701
Ge -4.307 0.000 10.972
Ge -2.153 1.243 3.657
Ge 2.153 1.243 3.657
Ir 0.000 0.000 10.972
Br 0.000 0.000 0.000
Br -2.153 -1.243 7.315
Br -2.153 1.243 14.630
Br 0.000 2.487 7.315
```

Crystal system: trigonal
E_form (uncorrected) (eV/atom): -1.108
Size of the total moment (μB/atom): 0.000
Volume (Å³ per cell): 470.0

=====

The following is a DFT calculation (PBE) of an optimized crystal structure of Tl2PtAuO.

```
5
Lattice="5.090 0.000 0.000 0.000 5.090 0.000 0.000 0.000 4.096" Properties=species:S:1:pos:R:3 pbc="T T T"
Tl 0.000 2.545 0.000
Tl 2.545 0.000 0.000
Pt 0.000 0.000 2.048
Au 2.545 2.545 2.048
O 2.545 2.545 0.000
```

Crystal system: tetragonal
E_form (uncorrected) (eV/atom): 0.182
Size of the total moment (μB/atom): 0.000
Volume (Å³ per cell): 106.1

=====

The following is a DFT calculation (PBE) of an optimized crystal structure of Cu4IrO6.

```
11
Lattice="5.715 -1.868 0.000 5.715 1.868 0.000 -5.152 0.000 5.962" Properties=species:S:1:pos:R:3 pbc="T T T"
Cu 0.322 0.000 1.669
Cu -0.997 -0.124 5.695
Cu 7.274 -0.124 0.267
Cu 5.955 0.000 4.293
Ir 3.139 0.573 2.981
O 2.765 0.514 1.014
O 1.180 0.494 3.278
O 5.715 0.986 0.000
O 5.098 0.494 2.684
O 3.513 0.514 4.948
O 3.139 -1.309 2.981
```

Crystal system: monoclinic
E_form (uncorrected) (eV/atom): -0.478
Size of the total moment (μB/atom): 0.000
Volume (Å³ per cell): 127.3

=====

The following is a DFT calculation (PBE) of an optimized crystal structure of TaTlOs2.

```
4
Lattice="2.869 0.000 0.000 0.000 2.869 0.000 0.000 0.000 8.456" Properties=species:S:1:pos:R:3 pbc="T T T"
Ta 0.000 0.000 0.000
Tl 1.434 1.434 2.392
Os 0.000 0.000 4.648
Os 1.434 1.434 6.307
```

Crystal system: tetragonal
Size of the total moment (μB/atom): 0.000
Volume (Å³ per cell): 69.6
Energy relative to the lowest polymorph listed for this composition (meV/atom): 160
Energy relative to the elements (eV per atom): 0.44

=====

The following is a DFT calculation (PBE) of an optimized crystal structure of PI2BrN.

```
5
Lattice="6.716 0.000 0.000 0.000 6.716 0.000 0.000 0.000 3.210" Properties=species:S:1:pos:R:3 pbc="T T T"
P 0.000 0.000 0.000
I 0.000 3.358 0.000
I 3.358 0.000 0.000
Br 3.358 3.358 1.605
N 0.000 0.000 1.605
```

Crystal system: tetragonal
E_form (uncorrected) (eV/atom): 0.558
Size of the total moment (μB/atom): 0.000
Volume (Å³ per cell): 144.8
Energy relative to the lowest polymorph listed for this composition (meV/atom): 0

=====

The following is a DFT calculation (PBE) of an optimized crystal structure of Ac3In2Au4.

```
9
Lattice="5.990 -2.425 0.000 5.990 2.425 0.000 -3.862 0.000 8.525" Properties=species:S:1:pos:R:3 pbc="T T T"
Ac 0.000 0.000 0.000
Ac 3.134 0.000 2.636
Ac 4.984 0.000 5.889
In 1.499 0.000 5.740
In 6.620 0.000 2.785
Au -0.634 0.000 3.495
Au -0.244 0.000 7.996
Au 8.362 0.000 0.530
Au 8.753 0.000 5.031
```

Crystal system: monoclinic
Size of the total moment (μB/atom): 0.000
Volume (Å³ per cell): 247.7
Energy relative to the elements (eV per atom): -0.73

=====

The following is a DFT calculation (PBE) of an optimized crystal structure of Rb2BiBr3F3.

```
9
Lattice="9.198 0.000 0.000 -4.599 7.966 0.000 0.000 0.000 3.519" Properties=species:S:1:pos:R:3 pbc="T T T"
Rb 0.000 5.311 0.000
Rb 4.599 2.655 0.000
Bi 0.000 0.000 1.759
Br -2.894 5.013 1.759
Br 1.705 2.953 1.759
Br 5.788 0.000 1.759
F -0.794 1.376 0.000
F 1.589 0.000 0.000
F 3.805 6.590 0.000
```

Crystal system: hexagonal
E_form (uncorrected) (eV/atom): -1.661
Size of the total moment (μB/atom): 0.021
Volume (Å³ per cell): 257.8

=====

The following is a DFT calculation (PBE) of an optimized crystal structure of LaSm5Ho2Tm.

```
18
Lattice="2.842 -10.046 0.000 2.842 10.046 0.000 0.000 0.000 10.613" Properties=species:S:1:pos:R:3 pbc="T T T"
La 2.842 8.359 5.306
La 2.842 -8.359 0.000
Sm 2.842 9.657 8.356
Sm 2.842 7.718 0.740
Sm 2.842 5.968 8.015
Sm 2.842 5.635 3.846
Sm 2.842 0.349 0.742
Sm 2.842 -0.349 6.048
Sm 2.842 -5.635 9.152
Sm 2.842 -5.968 2.708
Sm 2.842 -7.718 6.047
Sm 2.842 -9.657 3.049
Ho 2.842 2.306 3.876
Ho 2.842 2.278 8.284
Ho 2.842 -2.278 2.978
Ho 2.842 -2.306 9.182
Tm 2.842 4.006 0.628
Tm 2.842 -4.006 5.934
```

Crystal system: orthorhombic
Size of the total moment (μB/atom): 0.000
Volume (Å³ per cell): 606.1
Energy relative to the elements (eV per atom): 0.16

=====

The following is a DFT calculation (PBE) of an optimized crystal structure of YEr4Sc.

```
6
Lattice="5.512 0.000 0.000 0.000 1.777 9.220 0.000 -1.777 9.220" Properties=species:S:1:pos:R:3 pbc="T T T"
Y 0.000 0.000 0.000
Er 0.000 0.000 6.088
Er 0.000 0.000 12.326
Er 2.756 0.000 10.287
Er 2.756 0.000 16.325
Sc 2.756 0.000 4.093
```

Crystal system: orthorhombic
Size of the total moment (μB/atom): 0.000
Volume (Å³ per cell): 180.7
Energy relative to the lowest polymorph listed for this composition (meV/atom): 0
Energy relative to the elements (eV per atom): 0.01

=====

The following is a DFT calculation (PBE) of an optimized crystal structure of Ho12AlCu6.

```
19
Lattice="-4.884 4.884 4.884 4.884 -4.884 4.884 4.884 4.884 -4.884" Properties=species:S:1:pos:R:3 pbc="T T T"
Ho 4.884 -2.004 3.049
Ho 2.880 1.835 0.000
Ho 6.888 1.835 0.000
Ho 3.049 4.884 -2.004
Ho 1.835 0.000 2.880
Ho 0.000 2.880 1.835
Ho 4.884 2.004 3.049
Ho 3.049 4.884 2.004
Ho 1.835 0.000 6.888
Ho -2.004 3.049 4.884
Ho 2.004 3.049 4.884
Ho 0.000 6.888 1.835
Al 0.000 0.000 0.000
Cu 4.884 0.000 1.222
Cu 4.884 3.662 0.000
Cu 1.222 4.884 0.000
Cu 3.662 0.000 4.884
Cu 0.000 1.222 4.884
Cu 0.000 4.884 3.662
```

Crystal system: cubic
Size of the total moment (μB/atom): 0.000
Volume (Å³ per cell): 466.0
Energy relative to the elements (eV per atom): -0.19

=====

The following is a DFT calculation (PBE) of an optimized crystal structure of Ac2InSn2Hg4.

```
9
Lattice="-3.571 3.571 5.168 3.571 -3.571 5.168 3.571 3.571 -5.168" Properties=species:S:1:pos:R:3 pbc="T T T"
Ac 3.571 0.000 2.584
Ac 0.000 3.571 2.584
In 0.000 0.000 0.000
Sn 0.000 0.000 2.954
Sn 0.000 0.000 7.382
Hg 2.027 2.027 0.000
Hg 1.544 -1.544 5.168
Hg -1.544 1.544 5.168
Hg 1.544 1.544 5.168
```

Crystal system: tetragonal
Size of the total moment (μB/atom): 0.000
Volume (Å³ per cell): 263.7
Energy relative to the elements (eV per atom): -0.34

=====

The following is a DFT calculation (PBE) of an optimized crystal structure of Ti12TlSb3.

```
16
Lattice="5.217 0.000 0.000 0.000 5.225 0.000 0.000 0.000 10.464" Properties=species:S:1:pos:R:3 pbc="T T T"
Ti 0.000 0.000 1.275
Ti 0.000 0.000 3.896
Ti 0.000 0.000 6.568
Ti 0.000 0.000 9.189
Ti 1.301 2.612 2.644
Ti 1.301 2.612 7.819
Ti 2.608 1.301 0.000
Ti 2.608 1.304 5.232
Ti 2.608 3.921 5.232
Ti 2.608 3.923 0.000
Ti 3.916 2.612 2.644
Ti 3.916 2.612 7.819
Tl 0.000 2.612 0.000
Sb 0.000 2.612 5.232
Sb 2.608 0.000 2.625
Sb 2.608 0.000 7.839
```

Crystal system: orthorhombic
E_form (uncorrected) (eV/atom): -0.286
Size of the total moment (μB/atom): 0.000
Volume (Å³ per cell): 285.2

=====

The following is a DFT calculation (PBE) of an optimized crystal structure of V5GeRu6.

```
12
Lattice="4.280 0.000 0.000 0.000 5.902 0.000 -1.831 0.000 6.496" Properties=species:S:1:pos:R:3 pbc="T T T"
V 0.000 0.000 0.000
V 0.306 0.000 4.265
V 0.316 2.951 4.222
V 2.143 0.000 2.231
V 2.133 2.951 2.274
Ge 0.000 2.951 0.000
Ru -0.008 1.470 2.084
Ru -0.008 4.432 2.084
Ru 2.140 1.473 0.000
Ru 2.140 4.429 0.000
Ru 2.457 1.470 4.412
Ru 2.457 4.432 4.412
```

Crystal system: monoclinic
Size of the total moment (μB/atom): 0.035
Volume (Å³ per cell): 164.1
Energy relative to the elements (eV per atom): -0.30